Material: KErMnO3
Method: DFT, PBE with a Hubbard U
State: relaxed

Unit cell a=3.538 b=6.929 c=9.088 alpha=90.00 beta=90.00 gamma=104.79
Each line ends with the local moment (μB).
Positions (direct):
K: 0.683 0.366 0.750  0.01
K: 0.317 0.634 0.250  0.01
Er: 0.000 0.000 0.500  0.00
Er: 0.000 0.000 0.000  0.00
Mn: 0.416 0.832 0.750  4.46
Mn: 0.584 0.168 0.250  4.46
O: 0.606 0.211 0.464  0.03
O: 0.394 0.789 0.536  0.03
O: 0.394 0.789 0.964  0.03
O: 0.606 0.211 0.036  0.03
O: 0.016 0.032 0.750  0.10
O: 0.984 0.968 0.250  0.10

Properties
total DFT energy (no corrections) = -6.9379 eV per atom
volume = 17.95 Å³ per atom
space-group type = No. 63